# Te2WBr

An optimized crystal structure of Te2WBr (GGA-PBE, Alexandria).

Lattice parameters (Å, degrees): 3.3039 7.0611 7.0077 121.77 90.00 90.00
With the nearest neighbours (Å) after each atom.
Positions (direct):
W (0.0000, 0.4056, 0.6302)  2 Br 2.55, 3 Te 2.58-2.65
Te (0.0000, 0.0369, 0.6240)  1 W 2.58
Te (0.5000, 0.3797, 0.3222)  2 W 2.65
Br (0.5000, 0.6778, 0.9236)  2 W 2.55

Summary:
Symmetry ... Pm, No. 6
Raw formation energy ... 0.397 eV/f.u.
Magnetization ... 0.000 μB/atom
DOS(E_F) ... 3.0 states/eV/cell
V ... 139 Å³/cell

---

# Rb2CePd2Se4

An optimized crystal structure of Rb2CePd2Se4 (GGA-PBE, Alexandria).

Lattice parameters (Å, degrees): 4.2591 8.0036 8.1208 107.83 90.00 105.43
With the nearest neighbours (Å) after each atom.
Positions (direct):
Rb (0.1338, 0.2675, 0.5717)  7 Se 3.50-3.67, 1 Pd 3.69, 1 Rb 3.92
Pd (0.6871, 0.3742, 0.0008)  4 Se 2.52-2.73
Pd (0.3129, 0.6258, 0.9992)  4 Se 2.52-2.73
Se (0.4854, 0.9709, 0.2307)  1 Pd 2.73, 2 Ce 2.89
Ce (0.0000, 0.0000, 0.0000)  6 Se 2.89-2.91
Rb (0.8662, 0.7325, 0.4283)  7 Se 3.50-3.67, 1 Pd 3.69, 1 Rb 3.92
Se (0.1964, 0.3927, 0.1719)  3 Pd 2.52-2.61
Se (0.5146, 0.0291, 0.7693)  1 Pd 2.73, 2 Ce 2.89
Se (0.8036, 0.6073, 0.8281)  3 Pd 2.52-2.61

Summary:
Symmetry ... C2/m, No. 12
Raw formation energy ... -9.594 eV/f.u.
Magnetization ... 0.000 μB/atom
DOS(E_F) ... 4.4 states/eV/cell
V ... 253 Å³/cell

---

# Zr2TaRe

An optimized crystal structure of Zr2TaRe (GGA-PBE, Alexandria).

Lattice parameters (Å, degrees): 5.4749 5.5404 2.9548 79.42 80.31 116.69
With the nearest neighbours (Å) after each atom.
Positions (direct):
Ta (0.5000, 0.5000, 0.0000)  2 Re 2.88, 4 Zr 2.89, 2 Ta 2.95
Zr (0.0000, 0.0000, 0.0000)  4 Zr 2.88-2.95, 2 Re 2.89, 2 Ta 2.89
Re (0.0000, 0.5000, 0.5000)  2 Ta 2.88, 4 Zr 2.89, 2 Re 2.95
Zr (0.5000, 0.0000, 0.5000)  4 Zr 2.88-2.95, 2 Ta 2.89, 2 Re 2.89

Summary:
Energy of formation from the pure elements ... 50.3 meV/atom
Symmetry ... C2/m, No. 12
Magnetization ... 0.000 μB/atom
DOS(E_F) ... 5.8 states/eV/cell
V ... 75 Å³/cell

---

# KWCl2

An optimized crystal structure of KWCl2 (GGA-PBE, Alexandria).

Lattice parameters (Å, degrees): 4.0224 3.0581 6.7559 90.01 90.00 90.00
With the nearest neighbours (Å) after each atom.
Positions (direct):
W (0.5000, 0.7500, 0.7500)  4 Cl 2.49
Cl (0.0000, 0.7502, 0.5335)  2 W 2.49
K (0.5000, 0.2500, 0.2500)  2 K 3.06, 8 Cl 3.17
Cl (0.0000, 0.7498, 0.9665)  2 W 2.49

Summary:
Symmetry ... Pmmm, No. 47
Raw formation energy ... -0.476 eV/f.u.
Magnetization ... 0.000 μB/atom
DOS(E_F) ... 2.6 states/eV/cell
V ... 83 Å³/cell

---

# NbGaTe3

An optimized crystal structure of NbGaTe3 (GGA-PBE, Alexandria).

Lattice parameters (Å, degrees): 5.4716 5.4716 5.4716 90.00 90.00 90.00
With the nearest neighbours (Å) after each atom.
Positions (direct):
Te (0.0000, 0.5000, 0.0000)  2 Nb 2.74
Nb (0.0000, 0.0000, 0.0000)  6 Te 2.74
Te (0.0000, 0.0000, 0.5000)  2 Nb 2.74
Te (0.5000, 0.0000, 0.0000)  2 Nb 2.74
Ga (0.5000, 0.5000, 0.5000)  12 Te 3.87

Summary:
Symmetry ... Pm-3m, No. 221
Raw formation energy ... 0.422 eV/f.u.
Magnetization ... 0.000 μB/atom
DOS(E_F) ... 4.4 states/eV/cell
V ... 164 Å³/cell

---

# RbNdMnSe3

An optimized crystal structure of RbNdMnSe3 (GGA-PBE, Alexandria).

Lattice parameters (Å, degrees): 4.3389 9.5021 10.1178 107.52 90.00 90.00
With the nearest neighbours (Å) after each atom.
Positions (direct):
Mn (0.7500, 0.9143, 0.3927)  4 Se 2.47-2.61
Se (0.2500, 0.1141, 0.8577)  1 Mn 2.47
Nd (0.2500, 0.6674, 0.1425)  6 Se 2.92-3.13
Se (0.7500, 0.8859, 0.1423)  1 Mn 2.47
Se (0.2500, 0.5382, 0.8411)  3 Nd 2.92-2.96
Se (0.7500, 0.4618, 0.1589)  3 Nd 2.92-2.96
Se (0.2500, 0.8063, 0.4655)  3 Mn 2.60-2.61
Nd (0.7500, 0.3326, 0.8575)  6 Se 2.92-3.13
Rb (0.2500, 0.2039, 0.2330)  7 Se 3.52-3.77
Se (0.7500, 0.1937, 0.5345)  3 Mn 2.60-2.61
Mn (0.2500, 0.0857, 0.6073)  4 Se 2.47-2.61
Rb (0.7500, 0.7961, 0.7670)  7 Se 3.52-3.77

Summary:
Symmetry ... P2_1/m, No. 11
Raw formation energy ... -7.739 eV/f.u.
Magnetization ... 0.833 μB/atom
V ... 398 Å³/cell

---

# Cd2TcPd

An optimized crystal structure of Cd2TcPd (GGA-PBE, Alexandria).

Lattice parameters (Å, degrees): 7.5021 7.5021 5.9928 51.25 51.25 90.00
With the nearest neighbours (Å) after each atom.
Positions (direct):
Cd (0.6333, 0.1250, 0.2500)  2 Pd 2.70, 2 Tc 2.79, 2 Cd 2.79
Tc (0.2500, 0.7500, 0.5000)  4 Cd 2.79, 2 Pd 2.79
Tc (0.5000, 0.5000, 0.0000)  4 Cd 2.79, 2 Pd 2.79
Cd (0.3750, 0.3667, 0.7500)  2 Pd 2.70, 2 Tc 2.79, 2 Cd 2.79
Cd (0.1167, 0.6250, 0.2500)  2 Pd 2.70, 2 Tc 2.79, 2 Cd 2.79
Cd (0.8750, 0.8833, 0.7500)  2 Pd 2.70, 2 Tc 2.79, 2 Cd 2.79
Pd (0.7500, 0.2500, 0.5000)  4 Cd 2.70, 2 Tc 2.79
Pd (0.0000, 0.0000, 0.0000)  4 Cd 2.70, 2 Tc 2.79

Summary:
Energy of formation from the pure elements ... 598.6 meV/atom
Symmetry ... I-42d, No. 122
Magnetization ... 0.641 μB/atom
DOS(E_F) ... 5.4 states/eV/cell
V ... 157 Å³/cell

---

# SrNb2Ir

An optimized crystal structure of SrNb2Ir (GGA-PBE, Alexandria).

Lattice parameters (Å, degrees): 4.9813 4.9813 9.7572 75.21 75.21 90.00
With the nearest neighbours (Å) after each atom.
Positions (direct):
Ir (0.7500, 0.2500, 0.5000)  4 Nb 2.60
Nb (0.8356, 0.1250, 0.2500)  2 Nb 2.52, 2 Ir 2.60
Sr (0.2500, 0.7500, 0.5000)  8 Nb 3.46-3.73, 4 Ir 3.52
Nb (0.9144, 0.6250, 0.2500)  2 Nb 2.52, 2 Ir 2.60
Nb (0.3750, 0.1644, 0.7500)  2 Nb 2.52, 2 Ir 2.60
Sr (0.5000, 0.5000, 0.0000)  8 Nb 3.46-3.73, 4 Ir 3.52
Ir (0.0000, 0.0000, 0.0000)  4 Nb 2.60
Nb (0.8750, 0.0856, 0.7500)  2 Nb 2.52, 2 Ir 2.60

Summary:
Energy of formation from the pure elements ... 757.6 meV/atom
Symmetry ... I-42d, No. 122
Magnetization ... 0.000 μB/atom
DOS(E_F) ... 8.3 states/eV/cell
V ... 226 Å³/cell

---

# Pa4SiSe6

An optimized crystal structure of Pa4SiSe6 (GGA-PBE, Alexandria).

Lattice parameters (Å, degrees): 6.8786 9.4704 9.4704 90.00 90.00 90.00
With the nearest neighbours (Å) after each atom.
Positions (direct):
Se (0.4342, 0.5000, 0.0000)  4 Pa 2.84-2.88
Si (0.5000, 0.0000, 0.0000)  4 Pa 2.78
Pa (0.3105, 0.0000, 0.7411)  1 Si 2.78, 6 Se 2.84-3.03
Pa (0.8105, 0.2411, 0.5000)  1 Si 2.78, 6 Se 2.84-3.03
Se (0.5000, 0.7129, 0.7129)  4 Pa 2.97-3.03
Se (0.9342, 0.5000, 0.0000)  4 Pa 2.84-2.88
Se (0.5000, 0.2871, 0.7129)  4 Pa 2.97-3.03
Pa (0.3105, 0.0000, 0.2589)  1 Si 2.78, 6 Se 2.84-3.03
Se (0.5658, 0.0000, 0.5000)  4 Pa 2.84-2.88
Se (0.0658, 0.0000, 0.5000)  4 Pa 2.84-2.88
Se (0.0000, 0.2129, 0.2129)  4 Pa 2.97-3.03
Se (0.0000, 0.2129, 0.7871)  4 Pa 2.97-3.03
Se (0.0000, 0.7871, 0.7871)  4 Pa 2.97-3.03
Pa (0.6895, 0.7411, 0.0000)  1 Si 2.78, 6 Se 2.84-3.03
Pa (0.1895, 0.5000, 0.7589)  1 Si 2.78, 6 Se 2.84-3.03
Se (0.0000, 0.7871, 0.2129)  4 Pa 2.97-3.03
Pa (0.1895, 0.5000, 0.2411)  1 Si 2.78, 6 Se 2.84-3.03
Se (0.5000, 0.2871, 0.2871)  4 Pa 2.97-3.03
Si (0.0000, 0.5000, 0.5000)  4 Pa 2.78
Se (0.5000, 0.7129, 0.2871)  4 Pa 2.97-3.03
Pa (0.8105, 0.7589, 0.5000)  1 Si 2.78, 6 Se 2.84-3.03
Pa (0.6895, 0.2589, 0.0000)  1 Si 2.78, 6 Se 2.84-3.03

Summary:
Symmetry ... P4_2/nmc, No. 137
Raw formation energy ... -11.185 eV/f.u.
Magnetization ... 0.371 μB/atom
DOS(E_F) ... 43.5 states/eV/cell
V ... 617 Å³/cell

---

# Er2NpN

An optimized crystal structure of Er2NpN (GGA-PBE, Alexandria).

Lattice parameters (Å, degrees): 3.3246 3.3246 9.6473 80.08 80.08 60.00
With the nearest neighbours (Å) after each atom.
Positions (direct):
Er (0.8810, 0.8810, 0.3569)  3 N 2.35
Np (0.0000, 0.0000, 0.0000)  6 Np 3.32, 2 Er 3.37
Er (0.1190, 0.1190, 0.6431)  3 N 2.35
N (0.5000, 0.5000, 0.5000)  6 Er 2.35

Summary:
Symmetry ... R-3m, No. 166
Raw formation energy ... -1.710 eV/f.u.
Magnetization ... 1.137 μB/atom
DOS(E_F) ... 7.5 states/eV/cell
V ... 90 Å³/cell

---

# HfIn3B

An optimized crystal structure of HfIn3B (GGA-PBE, Alexandria).

Lattice parameters (Å, degrees): 5.5732 5.5732 5.5732 90.00 90.00 90.00
With the nearest neighbours (Å) after each atom.
Positions (direct):
Hf (0.0000, 0.0000, 0.0000)  6 In 2.79
B (0.5000, 0.5000, 0.5000)  12 In 3.94
In (0.0000, 0.0000, 0.5000)  2 Hf 2.79
In (0.0000, 0.5000, 0.0000)  2 Hf 2.79
In (0.5000, 0.0000, 0.0000)  2 Hf 2.79

Summary:
Energy of formation from the pure elements ... 1543.4 meV/atom
Symmetry ... Pm-3m, No. 221
Magnetization ... 0.000 μB/atom
DOS(E_F) ... 4.1 states/eV/cell
V ... 173 Å³/cell

---

# PmCuNiAu

An optimized crystal structure of PmCuNiAu (GGA-PBE, Alexandria).

Lattice parameters (Å, degrees): 4.6492 4.6492 4.6492 60.00 60.00 60.00
With the nearest neighbours (Å) after each atom.
Positions (direct):
Pm (0.0000, 0.0000, 0.0000)  4 Ni 2.85, 4 Cu 2.85
Au (0.5000, 0.5000, 0.5000)  4 Ni 2.85, 4 Cu 2.85
Cu (0.2500, 0.2500, 0.2500)  4 Pm 2.85, 4 Au 2.85
Ni (0.7500, 0.7500, 0.7500)  4 Pm 2.85, 4 Au 2.85

Summary:
Energy of formation from the pure elements ... -259.0 meV/atom
Symmetry ... F-43m, No. 216
Magnetization ... 0.000 μB/atom
DOS(E_F) ... 3.3 states/eV/cell
V ... 71 Å³/cell